VASP calculation (PBE-GGA) on CrFe2Cl after structural relaxation.

Cell lengths 6.773, 2.861, 6.658 Å; angles 90.00, 91.98, 90.00 degrees
Space group Cm (No. 8)
Inequivalent atoms, fractional coordinates:
Cr  0.000  0.000  0.000
Fe  0.237  0.500  0.168
Fe  0.449  0.000  0.370
Cl  0.465  0.000  0.719

Computed properties:
The total energy comes out at -0.24921 Ha/atom. Its crystal system is monoclinic. The formation energy from raw total energies comes out at 0.32 eV/atom.

---

VASP calculation (PBE-GGA) on CrFeCl2 after structural relaxation.

Cell lengths 3.430, 5.300, 8.815 Å; angles 90.00, 90.00, 90.00 degrees
Space group Cmm2 (No. 35)
Inequivalent atoms, fractional coordinates:
Cr  0.000  0.000  0.000
Fe  0.000  0.500  0.233
Cl  0.000  0.000  0.409
Cl  0.000  0.500  0.820

Computed properties:
The total energy comes out at -0.20235 Ha/atom. Its crystal system is orthorhombic. The formation energy from raw total energies comes out at -0.06 eV/atom.

---

VASP calculation (PBE-GGA) on CrFeCl3 after structural relaxation.

Cell lengths 4.817, 4.817, 4.817 Å; angles 90.00, 90.00, 90.00 degrees
Space group Pm-3m (No. 221)
Inequivalent atoms, fractional coordinates:
Cr  0.000  0.000  0.000
Fe  0.500  0.500  0.500
Cl  0.000  0.500  0.500

Computed properties:
The total energy comes out at -0.17896 Ha/atom. Its crystal system is cubic. The formation energy from raw total energies comes out at -0.14 eV/atom.

---

VASP calculation (PBE-GGA) on Cr3FeCl after structural relaxation.

Cell lengths 4.096, 4.096, 4.096 Å; angles 90.00, 90.00, 90.00 degrees
Space group Pm-3m (No. 221)
Inequivalent atoms, fractional coordinates:
Cr  0.000  0.000  0.500
Fe  0.500  0.500  0.500
Cl  0.000  0.000  0.000

Computed properties:
The total energy comes out at -0.25136 Ha/atom. Its crystal system is cubic. The formation energy from raw total energies comes out at 1.00 eV/atom.

---

VASP calculation (PBE-GGA) on Cr2FeCl after structural relaxation.

Cell lengths 2.931, 3.193, 6.286 Å; angles 90.00, 90.00, 90.00 degrees
Space group Pmmm (No. 47)
Inequivalent atoms, fractional coordinates:
Cr  0.000  0.000  0.175
Fe  0.500  0.500  0.000
Cl  0.500  0.000  0.500

Computed properties:
The total energy comes out at -0.25801 Ha/atom. Its crystal system is orthorhombic. The formation energy from raw total energies comes out at 0.37 eV/atom.

---

VASP calculation (PBE-GGA) on Cr2FeCl after structural relaxation.

Cell lengths 3.552, 3.552, 9.614 Å; angles 90.00, 90.00, 90.00 degrees
Space group I-4m2 (No. 119)
Inequivalent atoms, fractional coordinates:
Cr  0.000  0.000  0.000
Cr  0.000  0.500  0.250
Fe  0.000  0.500  0.750
Cl  0.000  0.000  0.500

Computed properties:
The total energy comes out at -0.24434 Ha/atom. Its crystal system is tetragonal. The formation energy from raw total energies comes out at 0.74 eV/atom.

---

Number 1: energy above the most stable polymorph in this dataset 0.126 eV per atom. Number 2: energy above the most stable polymorph in this dataset 0.095 eV per atom. Number 3: energy above the most stable polymorph in this dataset 0.000 eV per atom. Number 4: energy above the most stable polymorph in this dataset 0.000 eV per atom. Number 5: energy above the most stable polymorph in this dataset 0.145 eV per atom. Number 6: energy above the most stable polymorph in this dataset 0.517 eV per atom.